{"formula": "FeHO2F", "functional": "GGA+U", "state": "optimized geometry", "spacegroup": "No. 123", "dft_energy_ev_per_atom": -4.459, "lattice_angstrom": [[-1.806, 1.661, 1.834], [-2.428, -0.752, -1.710], [-0.676, -3.493, 2.496]], "species": ["H", "Fe", "O", "O", "F"], "fractional_positions": [[0.000, 0.000, 0.000], [0.500, 0.500, 0.500], [0.000, 0.500, 0.000], [0.500, 0.000, 0.000], [0.000, 0.000, 0.500]]}